1.
Compound: Ce2ErPd
Source: Alexandria via LeMat-Bulk
Functional: PBE-GGA
Structure: optimized geometry

The structure belongs to space group P4/mmm (No. 123); the cell edges are 3.721, 3.721 and 7.697 Å and the angles 90.00°, 90.00° and 90.00°. The distinct sites, in fractional coordinates, are Ce at (0.000, 0.000, 0.201), Er at (0.500, 0.500, 0.500) and Pd at (0.500, 0.500, 0.000).

For the formation energy, the calculation gives -0.23 eV per atom. The polymorph energy (0 for the lowest one) is 0.00 eV per formula unit. The volume is 26.7 A^3/atom. The value obtained for the size of the total moment is 1.48 μB/f.u.

***

2.
Compound: NaReHF2
Source: Alexandria via LeMat-Bulk
Functional: PBE-GGA
Structure: optimized geometry

The structure belongs to space group P4/mmm (No. 123); the cell edges are 4.579, 4.579 and 3.346 Å and the angles 90.00°, 90.00° and 90.00°. The distinct sites, in fractional coordinates, are Na at (0.000, 0.000, 0.000), Re at (0.500, 0.500, 0.000), H at (0.000, 0.000, 0.500) and F at (0.000, 0.500, 0.500).

The volume is 14.0 A^3/atom. The value obtained for the size of the total moment is 5.69 μB/f.u.

***

3.
Compound: POs2I
Source: Alexandria via LeMat-Bulk
Functional: PBE-GGA
Structure: optimized geometry

The structure belongs to space group Fm-3m (No. 225); the cell edges are 6.388, 6.388 and 6.388 Å and the angles 90.00°, 90.00° and 90.00°. The distinct sites, in fractional coordinates, are P at (0.000, 0.000, 0.000), Os at (0.250, 0.250, 0.250) and I at (0.000, 0.000, 0.500).

The polymorph energy (0 for the lowest one) is 1.89 eV per formula unit. The calculation puts the uncorrected formation energy at 1225 meV per atom. The volume is 16.3 A^3/atom. The value obtained for the size of the total moment is 0.00 μB/f.u.

***

4.
Compound: ZnCuP
Source: Alexandria via LeMat-Bulk
Functional: PBE-GGA
Structure: optimized geometry

The structure belongs to space group P4/nmm (No. 129, origin choice 2); the cell edges are 4.065, 4.065 and 5.539 Å and the angles 90.00°, 90.00° and 90.00°. The distinct sites, in fractional coordinates, are Zn at (0.250, 0.750, 0.000), Cu at (0.250, 0.750, 0.500) and P at (0.250, 0.250, 0.260).

For the formation energy, the calculation gives -0.08 eV per atom. The volume is 15.3 A^3/atom. The value obtained for the size of the total moment is 0.00 μB/f.u.

***

5.
Compound: Tb7NdHg4
Source: Alexandria via LeMat-Bulk
Functional: PBE-GGA
Structure: optimized geometry

The structure belongs to space group C2/m (No. 12); the cell edges are 14.710, 5.728 and 9.792 Å and the angles 90.00°, 122.40° and 90.00°. The distinct sites, in fractional coordinates, are Tb at (0.000, 0.000, 0.000), Tb at (0.066, 0.500, 0.405), Tb at (0.207, 0.500, 0.884), Tb at (0.230, 0.000, 0.682), Nd at (0.000, 0.500, 0.000), Hg at (0.046, 0.000, 0.726) and Hg at (0.189, 0.000, 0.339).

For the formation energy, the calculation gives -0.11 eV per atom. The volume is 29.0 A^3/atom. The value obtained for the size of the total moment is 0.00 μB/f.u.

***

6.
Compound: ZnCuP2
Source: Alexandria via LeMat-Bulk
Functional: PBE-GGA
Structure: optimized geometry

The structure belongs to space group Cmmm (No. 65); the cell edges are 5.689, 7.315 and 2.780 Å and the angles 90.00°, 90.00° and 90.00°. The distinct sites, in fractional coordinates, are Zn at (0.000, 0.000, 0.000), Cu at (0.000, 0.500, 0.000) and P at (0.250, 0.250, 0.500).

For the formation energy, the calculation gives 0.39 eV per atom. The volume is 14.5 A^3/atom. The value obtained for the size of the total moment is 0.00 μB/f.u.

***

7.
Compound: CdP2Cl
Source: Alexandria via LeMat-Bulk
Functional: PBE-GGA
Structure: optimized geometry

The structure belongs to space group P4/mmm (No. 123); the cell edges are 4.992, 4.992 and 3.021 Å and the angles 90.00°, 90.00° and 90.00°. The distinct sites, in fractional coordinates, are Cd at (0.000, 0.000, 0.000), P at (0.000, 0.500, 0.500) and Cl at (0.500, 0.500, 0.000).

The polymorph energy (0 for the lowest one) is 3.61 eV per formula unit. The calculation puts the uncorrected formation energy at 683 meV per atom. The volume is 18.8 A^3/atom. The value obtained for the size of the total moment is 0.00 μB/f.u.

***

8.
Compound: Ga2Ru2Pt
Source: Alexandria via LeMat-Bulk
Functional: PBE-GGA
Structure: optimized geometry

The structure belongs to space group P4/mbm (No. 127); the cell edges are 6.945, 6.945 and 3.049 Å and the angles 90.00°, 90.00° and 90.00°. The distinct sites, in fractional coordinates, are Ga at (0.138, 0.362, 0.000), Ru at (0.161, 0.661, 0.500) and Pt at (0.000, 0.000, 0.000).

For the formation energy, the calculation gives -0.12 eV per atom. The polymorph energy (0 for the lowest one) is 0.00 eV per formula unit. The volume is 14.7 A^3/atom. The value obtained for the size of the total moment is 0.00 μB/f.u.

***

9.
Compound: BaLiCdAg
Source: Alexandria via LeMat-Bulk
Functional: PBE-GGA
Structure: optimized geometry

The structure belongs to space group F-43m (No. 216); the cell edges are 7.820, 7.820 and 7.820 Å and the angles 90.00°, 90.00° and 90.00°. The distinct sites, in fractional coordinates, are Ba at (0.000, 0.000, 0.000), Li at (0.000, 0.000, 0.500), Cd at (0.250, 0.250, 0.250) and Ag at (0.250, 0.250, 0.750).

For the formation energy, the calculation gives -0.12 eV per atom. The polymorph energy (0 for the lowest one) is 0.53 eV per formula unit. The volume is 29.9 A^3/atom. The value obtained for the size of the total moment is 0.00 μB/f.u.

***

10.
Compound: LaNi2Ir
Source: Alexandria via LeMat-Bulk
Functional: PBE-GGA
Structure: optimized geometry

The structure belongs to space group P4mm (No. 99); the cell edges are 3.156, 3.156 and 6.695 Å and the angles 90.00°, 90.00° and 90.00°. The distinct sites, in fractional coordinates, are La at (0.000, 0.000, 0.000), Ni at (0.000, 0.000, 0.481), Ni at (0.500, 0.500, 0.308) and Ir at (0.500, 0.500, 0.680).

For the formation energy, the calculation gives 0.04 eV per atom. The volume is 16.7 A^3/atom. The value obtained for the size of the total moment is 0.70 μB/f.u.

***

11.
Compound: AlPt6W
Source: Alexandria via LeMat-Bulk
Functional: PBE-GGA
Structure: optimized geometry

The structure belongs to space group P4/mmm (No. 123); the cell edges are 3.946, 3.946 and 7.917 Å and the angles 90.00°, 90.00° and 90.00°. The distinct sites, in fractional coordinates, are Al at (0.000, 0.000, 0.000), Pt at (0.000, 0.500, 0.253), Pt at (0.500, 0.500, 0.000), Pt at (0.500, 0.500, 0.500) and W at (0.000, 0.000, 0.500).

For the formation energy, the calculation gives -0.45 eV per atom. The volume is 15.4 A^3/atom. The value obtained for the size of the total moment is 0.00 μB/f.u.

***

12.
Compound: CsAgP2Cl
Source: Alexandria via LeMat-Bulk
Functional: PBE-GGA
Structure: optimized geometry

The structure belongs to space group P4/mmm (No. 123); the cell edges are 4.825, 4.825 and 6.698 Å and the angles 90.00°, 90.00° and 90.00°. The distinct sites, in fractional coordinates, are Cs at (0.000, 0.000, 0.000), Ag at (0.500, 0.500, 0.500), P at (0.000, 0.500, 0.500) and Cl at (0.500, 0.500, 0.000).

The polymorph energy (0 for the lowest one) is 0.00 eV per formula unit. The calculation puts the uncorrected formation energy at 136 meV per atom. The volume is 31.2 A^3/atom. The value obtained for the size of the total moment is 1.83 μB/f.u.

***

13.
Compound: Cs2KPuCl8
Source: Alexandria via LeMat-Bulk
Functional: PBE-GGA
Structure: optimized geometry

The structure belongs to space group P-1 (No. 2); the cell edges are 6.275, 7.532 and 10.424 Å and the angles 89.97°, 89.99° and 78.73°. The distinct sites, in fractional coordinates, are Cs at (0.000, 0.000, 0.249), K at (0.500, 0.500, 0.500), Pu at (0.500, 0.500, 0.000), Cl at (0.024, 0.712, 0.500), Cl at (0.116, 0.687, 0.000), Cl at (0.417, 0.288, 0.180) and Cl at (0.417, 0.289, 0.820).

The calculation puts the uncorrected formation energy at -1674 meV per atom. The volume is 40.3 A^3/atom. The value obtained for the size of the total moment is 3.98 μB/f.u.

***

| no. | energy (eV per atom) |
| --- | --- |
| 1 | -5.638 |
| 2 | -3.704 |
| 3 | -6.130 |
| 4 | -3.671 |
| 5 | -3.313 |
| 6 | -3.658 |
| 7 | -2.712 |
| 8 | -6.251 |
| 9 | -2.022 |
| 10 | -6.302 |
| 11 | -7.066 |
| 12 | -3.139 |
| 13 | -4.333 |